The following is a GGA-PBE calculation of crystalline Hg2C at its relaxed geometry, from the Alexandria database.

a b c (Å): 6.060 6.060 6.060
angles (deg): 90.00 90.00 90.00
Space group Pa-3 (No. 205)
Asymmetric unit:
Hg 0.153 0.153 0.153 [8 per cell]
C 0.000 0.000 0.500 [4 per cell]

Properties
excess energy over the best structure of this formula in the dataset: 1.040 eV/atom



The following is a GGA-PBE calculation of crystalline Sr2CdBAu at its relaxed geometry, from the Alexandria database.

a b c (Å): 5.702 5.702 4.298
angles (deg): 90.00 90.00 90.00
Space group P4/mmm (No. 123)
Asymmetric unit:
Sr 0.000 0.500 0.000 [2 per cell]
Cd 0.000 0.000 0.500 [1 per cell]
B 0.000 0.000 0.000 [1 per cell]
Au 0.500 0.500 0.500 [1 per cell]



Number 1: formation enthalpy at 0 K 1511 meV/atom. Number 2: formation enthalpy at 0 K -68 meV/atom.